Record 1
# PuZrMnRh (GGA-PBE, optimized geometry)
data_PuZrMnRh
_cell_length_a 6.6539
_cell_length_b 6.6539
_cell_length_c 6.6539
_cell_angle_alpha 90.00
_cell_angle_beta 90.00
_cell_angle_gamma 90.00
_space_group_name_H-M_alt 'F -4 3 m'
_space_group_IT_number 216
_space_group_name_Hall 'F -4 2 3'
loop_
_atom_site_label
_atom_site_type_symbol
_atom_site_fract_x
_atom_site_fract_y
_atom_site_fract_z
Pu1 Pu 0.0000 0.0000 0.0000
Zr1 Zr 0.0000 0.0000 0.5000
Mn1 Mn 0.2500 0.2500 0.7500
Rh1 Rh 0.2500 0.2500 0.2500
# Formation enthalpy at 0 K: -0.236 eV per atom
# Energy: -10.0865 eV per atom
# Fermi-level density of states: 17.4 states/eV/cell



Record 2
# CuTc2 (GGA-PBE, optimized geometry)
data_CuTc2
_cell_length_a 2.7271
_cell_length_b 2.7271
_cell_length_c 6.5732
_cell_angle_alpha 90.00
_cell_angle_beta 90.00
_cell_angle_gamma 120.00
_space_group_name_H-M_alt 'P -3 m 1'
_space_group_IT_number 164
_space_group_name_Hall '-P 3 2"'
loop_
_atom_site_label
_atom_site_type_symbol
_atom_site_fract_x
_atom_site_fract_y
_atom_site_fract_z
Cu1 Cu 0.0000 0.0000 0.0000
Tc1 Tc 0.3333 0.6667 0.3417
# Formation enthalpy at 0 K: 0.133 eV per atom
# Energy: -8.1428 eV per atom
# Fermi-level density of states: 1.5 states/eV/cell
# Relative energy among the computed polymorphs: 0.044 eV/atom



Record 3
# CdOsPb2 (GGA-PBE, optimized geometry)
data_CdOsPb2
_cell_length_a 3.6157
_cell_length_b 4.7163
_cell_length_c 5.3369
_cell_angle_alpha 90.00
_cell_angle_beta 90.00
_cell_angle_gamma 90.00
_space_group_name_H-M_alt 'P m m m'
_space_group_IT_number 47
_space_group_name_Hall '-P 2 2'
loop_
_atom_site_label
_atom_site_type_symbol
_atom_site_fract_x
_atom_site_fract_y
_atom_site_fract_z
Cd1 Cd 0.0000 0.0000 0.0000
Os1 Os 0.5000 0.0000 0.5000
Pb1 Pb 0.0000 0.5000 0.5000
Pb2 Pb 0.5000 0.5000 0.0000
# Formation enthalpy at 0 K: 0.872 eV per atom
# Energy: -4.0183 eV per atom
# Fermi-level density of states: 3.7 states/eV/cell



Record 4
# NaAcY2S4 (GGA-PBE, optimized geometry)
data_NaAcY2S4
_cell_length_a 6.9558
_cell_length_b 4.0160
_cell_length_c 7.1818
_cell_angle_alpha 90.00
_cell_angle_beta 108.69
_cell_angle_gamma 90.00
_space_group_name_H-M_alt 'P 1 2/m 1'
_space_group_IT_number 10
_space_group_name_Hall '-P 2y'
loop_
_atom_site_label
_atom_site_type_symbol
_atom_site_fract_x
_atom_site_fract_y
_atom_site_fract_z
Na1 Na 0.0000 0.0000 0.0000
Ac1 Ac 0.5000 0.5000 0.0000
Y1 Y 0.0000 0.5000 0.5000
Y2 Y 0.5000 0.0000 0.5000
S1 S 0.2357 0.0000 0.7283
S2 S 0.2535 0.5000 0.2706
# E_form (uncorrected): -1.914 eV per atom
# Energy: -6.2726 eV per atom
# Fermi-level density of states: 2.6 states/eV/cell